# ZrCd2Fe

A geometry-optimized ZrCd2Fe structure (PBE, the Alexandria database).

Geometry as CIF:
```
data_ZrCd2Fe
_cell_length_a 11.3036
_cell_length_b 3.1644
_cell_length_c 4.6414
_cell_angle_alpha 90.00
_cell_angle_beta 114.12
_cell_angle_gamma 90.00
_space_group_name_H-M_alt 'C 1 2/m 1'
_space_group_IT_number 12
loop_
_space_group_symop_operation_xyz
'x,y,z'
'-x,-y,-z'
'-x,y,-z'
'x,-y,z'
'x+1/2,y+1/2,z'
'-x+1/2,-y+1/2,-z'
'-x+1/2,y+1/2,-z'
'x+1/2,-y+1/2,z'
loop_
_atom_site_label
_atom_site_type_symbol
_atom_site_fract_x
_atom_site_fract_y
_atom_site_fract_z
Zr1 Zr 0.0000 0.0000 0.0000
Cd1 Cd 0.2183 0.0000 0.7185
Fe1 Fe 0.0000 0.5000 0.5000
```

Values from the calculation:
Mass density, g cm⁻³: 8.2
Magnetization, μB/f.u.: 1.7
E_form, eV/atom: 0.13
DFT total energy, eV per atom: -4.58
Volume, Å³/cell: 151.52